1.
First-principles (PBE) data for a relaxed Cs3RbAg2Bi2 crystal, as listed in OQMD via LeMat-Bulk.

Computed properties:
calculated volume = 42.81 Å³/atom
symmetry = Pm (6)
VASP energy = -19.89 eV/cell

Unit cell a=7.1580 b=6.7877 c=7.3199 alpha=90.00 beta=105.66 gamma=90.00
Sites, in units of the cell vectors:
Ag: 0.0014 0.2519 0.9971
Ag: 0.0014 0.7481 0.9971
Bi: 0.2468 0.0000 0.2611
Bi: 0.7456 0.5000 0.7377
Cs: 0.5276 0.5000 0.1770
Cs: 0.1812 0.5000 0.5194
Cs: 0.4753 0.0000 0.8246
Rb: 0.8206 0.0000 0.4859


2.
First-principles (PBE) data for a relaxed RbZrAgSe3 crystal, as listed in OQMD via LeMat-Bulk.

Computed properties:
calculated volume = 27.09 Å³/atom
symmetry = Cmcm (63)
VASP energy = -58.10 eV/cell
magnetization = 0.0 μB/f.u.

Unit cell a=7.9665 b=7.9665 c=10.5240 alpha=90.00 beta=90.00 gamma=29.13
Sites, in units of the cell vectors:
Ag: 0.4568 0.4568 0.2500
Ag: 0.5432 0.5432 0.7500
Rb: 0.7509 0.7509 0.2500
Rb: 0.2491 0.2491 0.7500
Se: 0.3786 0.3786 0.0336
Se: 0.0672 0.0672 0.2500
Se: 0.3786 0.3786 0.4664
Se: 0.6214 0.6214 0.5336
Se: 0.9328 0.9328 0.7500
Se: 0.6214 0.6214 0.9664
Zr: 0.0000 0.0000 0.0000
Zr: 0.0000 0.0000 0.5000


3.
First-principles (PBE) data for a relaxed K2CuSbS3 crystal, as listed in OQMD via LeMat-Bulk.

Computed properties:
calculated volume = 26.58 Å³/atom
symmetry = P2_1/c (14)
VASP energy = -110.81 eV/cell

Unit cell a=6.3220 b=18.0783 c=7.5467 alpha=90.00 beta=120.36 gamma=90.00
Sites, in units of the cell vectors:
Cu: 0.6168 0.7213 0.0687
Cu: 0.3832 0.2213 0.4313
Cu: 0.6168 0.7787 0.5687
Cu: 0.3832 0.2787 0.9313
K: 0.0832 0.3812 0.1451
K: 0.3548 0.0421 0.2100
K: 0.6452 0.5421 0.2900
K: 0.9168 0.8812 0.3549
K: 0.0832 0.1188 0.6451
K: 0.3548 0.4579 0.7100
K: 0.6452 0.9579 0.7900
K: 0.9168 0.6188 0.8549
S: 0.2003 0.2100 0.0839
S: 0.5917 0.3740 0.1460
S: 0.8398 0.0623 0.1859
S: 0.1602 0.5623 0.3141
S: 0.4083 0.8740 0.3540
S: 0.7997 0.7100 0.4161
S: 0.2003 0.2900 0.5839
S: 0.5917 0.1260 0.6460
S: 0.8398 0.4377 0.6859
S: 0.1602 0.9377 0.8141
S: 0.4083 0.6260 0.8540
S: 0.7997 0.7900 0.9161
Sb: 0.2367 0.8232 0.0043
Sb: 0.7633 0.3232 0.4957
Sb: 0.2367 0.6768 0.5043
Sb: 0.7633 0.1768 0.9957


4.
First-principles (PBE) data for a relaxed Ho2Al8Pd crystal, as listed in OQMD via LeMat-Bulk.

Computed properties:
calculated volume = 18.59 Å³/atom
symmetry = P4/mmm (123)
VASP energy = -49.65 eV/cell
magnetization = 0.0 μB/f.u.

Unit cell a=4.2859 b=4.2859 c=11.1323 alpha=90.00 beta=90.00 gamma=90.00
Sites, in units of the cell vectors:
Al: 0.5000 0.0000 0.1260
Al: 0.0000 0.5000 0.1260
Al: 0.5000 0.5000 0.3055
Al: 0.5000 0.0000 0.5000
Al: 0.0000 0.5000 0.5000
Al: 0.5000 0.5000 0.6945
Al: 0.5000 0.0000 0.8740
Al: 0.0000 0.5000 0.8740
Ho: 0.0000 0.0000 0.3125
Ho: 0.0000 0.0000 0.6875
Pd: 0.0000 0.0000 0.0000


5.
First-principles (PBE) data for a relaxed TbNdFe2Si2C crystal, as listed in OQMD via LeMat-Bulk.

Computed properties:
calculated volume = 16.13 Å³/atom
symmetry = Cm (8)
VASP energy = -50.54 eV/cell
magnetization = 0.0 μB/f.u.

Unit cell a=5.7091 b=5.7091 c=6.8748 alpha=126.53 beta=126.53 gamma=40.70
Sites, in units of the cell vectors:
C: 0.5029 0.5029 0.5080
Fe: 0.3024 0.3024 0.4103
Fe: 0.6996 0.6996 0.5925
Nd: 0.9384 0.9384 0.1998
Si: 0.6676 0.6676 0.2258
Si: 0.3317 0.3317 0.7710
Tb: 0.0575 0.0575 0.7924


6.
First-principles (PBE) data for a relaxed GdPaCo crystal, as listed in OQMD via LeMat-Bulk.

Computed properties:
calculated volume = 23.27 Å³/atom
symmetry = F-43m (216)
VASP energy = -20.67 eV/cell
formation energy = 56 kJ/mol of formula units
magnetization = 0.0 μB/f.u.
E above lowest polymorph = 0 meV per atom

Unit cell a=4.6219 b=4.6219 c=4.6219 alpha=60.00 beta=60.00 gamma=60.00
Sites, in units of the cell vectors:
Co: 0.0000 0.0000 0.0000
Gd: 0.2500 0.2500 0.2500
Pa: 0.7500 0.7500 0.7500


7.
First-principles (PBE) data for a relaxed Pr2Au crystal, as listed in OQMD via LeMat-Bulk.

Computed properties:
calculated volume = 29.00 Å³/atom
symmetry = Fd-3m (227)
VASP energy = -23.91 eV/cell
formation energy = 83 kJ/mol of formula units
magnetization = 0.1 μB/f.u.

Unit cell a=6.2664 b=6.2664 c=6.2664 alpha=60.00 beta=60.00 gamma=60.00
Sites, in units of the cell vectors:
Au: 0.0000 0.0000 0.0000
Au: 0.2500 0.2500 0.2500
Pr: 0.6250 0.6250 0.1250
Pr: 0.6250 0.1250 0.6250
Pr: 0.1250 0.6250 0.6250
Pr: 0.6250 0.6250 0.6250


8.
First-principles (PBE) data for a relaxed Dy2NbAs3 crystal, as listed in OQMD via LeMat-Bulk.

Computed properties:
calculated volume = 22.05 Å³/atom
symmetry = P-3m1 (164)
VASP energy = -39.93 eV/cell
magnetization = 0.0 μB/f.u.

Unit cell a=3.9681 b=3.9681 c=9.7014 alpha=90.00 beta=90.00 gamma=120.00
Sites, in units of the cell vectors:
As: 0.0000 0.0000 0.0000
As: 0.3333 0.6667 0.3537
As: 0.6667 0.3333 0.6463
Dy: 0.6667 0.3333 0.1783
Dy: 0.3333 0.6667 0.8217
Nb: 0.0000 0.0000 0.5000


> calculated volume of number 7 (Pr2Au)?

29.00 Å³/atom


Please write out number 2 again, unchanged.
First-principles (PBE) data for a relaxed RbZrAgSe3 crystal, as listed in OQMD via LeMat-Bulk.

Computed properties:
calculated volume = 27.09 Å³/atom
symmetry = Cmcm (63)
VASP energy = -58.10 eV/cell
magnetization = 0.0 μB/f.u.

Unit cell a=7.9665 b=7.9665 c=10.5240 alpha=90.00 beta=90.00 gamma=29.13
Sites, in units of the cell vectors:
Ag: 0.4568 0.4568 0.2500
Ag: 0.5432 0.5432 0.7500
Rb: 0.7509 0.7509 0.2500
Rb: 0.2491 0.2491 0.7500
Se: 0.3786 0.3786 0.0336
Se: 0.0672 0.0672 0.2500
Se: 0.3786 0.3786 0.4664
Se: 0.6214 0.6214 0.5336
Se: 0.9328 0.9328 0.7500
Se: 0.6214 0.6214 0.9664
Zr: 0.0000 0.0000 0.0000
Zr: 0.0000 0.0000 0.5000